# 1
A geometry-optimized Tb6Y2Er3Zr structure. Source: Alexandria via LeMat-Bulk, functional PBE.

## Properties
formation energy: 0.0458 eV per atom

a b c (Å): 6.084 6.084 11.623
angles (deg): 94.96 94.96 119.91
Element x y z (fractional)
Tb 0.591 0.918 0.753
Tb 0.082 0.409 0.247
Tb 0.244 0.244 0.754
Tb 0.756 0.756 0.246
Tb 0.409 0.082 0.247
Tb 0.918 0.591 0.753
Y 0.667 0.333 0.000
Y 0.333 0.667 0.000
Er 0.500 0.500 0.500
Er 0.167 0.833 0.500
Er 0.833 0.167 0.500
Zr 0.000 0.000 0.000

***

# 2
A geometry-optimized Ho3Tm8 structure. Source: Alexandria via LeMat-Bulk, functional PBE.

## Properties
formation energy: 0.5937 eV per atom
relative energy among the computed polymorphs: 566 meV per atom

a b c (Å): 7.574 7.574 7.574
angles (deg): 71.96 71.96 71.96
Element x y z (fractional)
Tm 0.751 0.138 0.753
Tm 0.753 0.751 0.138
Tm 0.581 0.581 0.581
Tm 0.862 0.247 0.249
Tm 0.138 0.753 0.751
Tm 0.419 0.419 0.419
Tm 0.247 0.249 0.862
Tm 0.249 0.862 0.247
Ho 0.000 0.500 0.500
Ho 0.500 0.000 0.500
Ho 0.500 0.500 0.000

***

# 3
A geometry-optimized TcW3Br structure. Source: Alexandria via LeMat-Bulk, functional PBE.

## Properties
relative energy among the computed polymorphs: 115 meV per atom
raw formation energy: 11.69 eV per formula unit

a b c (Å): 4.539 4.539 4.539
angles (deg): 90.00 90.00 90.00
Element x y z (fractional)
W 0.000 0.500 0.000
W 0.500 0.000 0.000
W 0.000 0.000 0.500
Br 0.000 0.000 0.000
Tc 0.500 0.500 0.500

***

# 4
A geometry-optimized Ag5Hg3 structure. Source: Alexandria via LeMat-Bulk, functional PBE.

## Properties
formation energy: 0.0636 eV per atom
relative energy among the computed polymorphs: 0 meV per atom

a b c (Å): 4.402 5.967 5.967
angles (deg): 91.58 90.00 90.00
Element x y z (fractional)
Ag 0.000 0.000 0.500
Ag 0.000 0.000 0.000
Ag 0.000 0.500 0.000
Ag 0.500 0.253 0.253
Ag 0.500 0.747 0.747
Hg 0.500 0.239 0.761
Hg 0.500 0.761 0.239
Hg 0.000 0.500 0.500

***

# 5
A geometry-optimized PmEr2Sb2 structure. Source: Alexandria via LeMat-Bulk, functional PBE.

## Properties
raw formation energy: -4.19 eV per formula unit

a b c (Å): 4.451 6.351 10.656
angles (deg): 90.00 102.06 90.00
Element x y z (fractional)
Er 0.000 0.774 0.000
Er 0.000 0.274 0.000
Er 0.186 0.522 0.372
Er 0.814 0.022 0.628
Sb 0.576 0.524 0.153
Sb 0.785 0.522 0.571
Sb 0.424 0.024 0.847
Sb 0.215 0.022 0.429
Pm 0.386 0.524 0.772
Pm 0.614 0.024 0.228

***

# 6
A geometry-optimized Ta2TePt structure. Source: Alexandria via LeMat-Bulk, functional PBE.

## Properties
raw formation energy: -0.23 eV per formula unit

a b c (Å): 8.888 8.888 8.888
angles (deg): 21.55 21.55 21.55
Element x y z (fractional)
Ta 0.252 0.252 0.252
Ta 0.002 0.002 0.002
Te 0.508 0.508 0.508
Pt 0.738 0.738 0.738

***

# 7
A geometry-optimized Th6Co4Au structure. Source: Alexandria via LeMat-Bulk, functional PBE.

## Properties
formation energy: -0.3503 eV per atom

a b c (Å): 3.937 6.906 20.363
angles (deg): 90.00 90.00 106.56
Element x y z (fractional)
Co 0.398 0.795 0.374
Co 0.135 0.270 0.045
Co 0.865 0.730 0.955
Co 0.865 0.730 0.545
Co 0.602 0.205 0.874
Co 0.135 0.270 0.455
Co 0.602 0.205 0.626
Co 0.398 0.795 0.126
Th 0.500 0.000 0.000
Th 0.035 0.069 0.158
Th 0.342 0.684 0.250
Th 0.035 0.069 0.342
Th 0.235 0.470 0.916
Th 0.965 0.931 0.842
Th 0.965 0.931 0.658
Th 0.765 0.530 0.084
Th 0.500 0.000 0.500
Th 0.235 0.470 0.584
Th 0.658 0.316 0.750
Th 0.765 0.530 0.416
Au 0.658 0.316 0.250
Au 0.342 0.684 0.750

***

# 8
A geometry-optimized LaDy5Y structure. Source: Alexandria via LeMat-Bulk, functional PBE.

## Properties
formation energy: 1.1149 eV per atom
relative energy among the computed polymorphs: 925 meV per atom

a b c (Å): 5.799 7.887 7.887
angles (deg): 66.41 68.43 68.43
Element x y z (fractional)
Dy 0.252 0.748 0.748
Dy 0.000 0.500 0.500
Dy 0.500 0.179 0.821
Dy 0.500 0.821 0.179
Dy 0.748 0.252 0.252
Y 0.500 0.500 0.500
La 0.000 0.000 0.000

***

# 9
A geometry-optimized Tb5InCu4 structure. Source: Alexandria via LeMat-Bulk, functional PBE.

## Properties
formation energy: -0.2801 eV per atom

a b c (Å): 3.488 3.488 18.332
angles (deg): 90.00 90.00 90.00
Element x y z (fractional)
Tb 0.500 0.500 0.881
Tb 0.500 0.500 0.500
Tb 0.500 0.500 0.119
Tb 0.500 0.500 0.310
Tb 0.500 0.500 0.690
Cu 0.000 0.000 0.405
Cu 0.000 0.000 0.214
Cu 0.000 0.000 0.786
Cu 0.000 0.000 0.595
In 0.000 0.000 0.000

***

# 10
A geometry-optimized CsCd3Au3 structure. Source: Alexandria via LeMat-Bulk, functional PBE.

## Properties
formation energy: -0.0805 eV per atom
relative energy among the computed polymorphs: 61 meV per atom

a b c (Å): 7.819 7.819 7.819
angles (deg): 90.00 90.00 90.00
Element x y z (fractional)
Au 0.750 0.000 0.500
Au 0.500 0.750 0.000
Au 0.250 0.000 0.500
Au 0.000 0.500 0.250
Au 0.500 0.250 0.000
Au 0.000 0.500 0.750
Cd 0.000 0.750 0.500
Cd 0.500 0.000 0.750
Cd 0.250 0.500 0.000
Cd 0.000 0.250 0.500
Cd 0.750 0.500 0.000
Cd 0.500 0.000 0.250
Cs 0.500 0.500 0.500
Cs 0.000 0.000 0.000

***

# 11
A geometry-optimized LaSeI structure. Source: Alexandria via LeMat-Bulk, functional PBE.

## Properties
raw formation energy: -5.21 eV per formula unit

a b c (Å): 7.343 4.587 8.039
angles (deg): 90.00 95.35 90.00
Element x y z (fractional)
I 0.751 0.250 0.902
I 0.249 0.750 0.098
Se 0.802 0.750 0.395
Se 0.198 0.250 0.605
La 0.996 0.250 0.277
La 0.004 0.750 0.723

***

# 12
A geometry-optimized Sm2GaAgSe5 structure. Source: Alexandria via LeMat-Bulk, functional PBE.

## Properties
raw formation energy: -10.63 eV per formula unit

a b c (Å): 4.006 9.425 11.823
angles (deg): 90.00 90.00 102.27
Element x y z (fractional)
Se 0.041 0.081 0.068
Se 0.289 0.578 0.680
Se 0.959 0.919 0.568
Se 0.318 0.636 0.349
Se 0.682 0.364 0.849
Se 0.633 0.266 0.495
Se 0.367 0.734 0.995
Se 0.501 0.003 0.777
Se 0.711 0.422 0.180
Se 0.499 0.997 0.277
Ga 0.570 0.139 0.955
Ga 0.430 0.861 0.455
Sm 0.127 0.254 0.298
Sm 0.883 0.765 0.180
Sm 0.873 0.746 0.798
Sm 0.117 0.235 0.680
Ag 0.224 0.448 0.021
Ag 0.776 0.552 0.521

***

| no. | E_tot (eV per atom) |
| --- | --- |
| 1 | -5.20 |
| 2 | -3.91 |
| 3 | -7.84 |
| 4 | -1.83 |
| 5 | -5.26 |
| 6 | -8.28 |
| 7 | -7.28 |
| 8 | -3.80 |
| 9 | -4.51 |
| 10 | -2.00 |
| 11 | -5.06 |
| 12 | -4.82 |